{"formula": "PmAgI2O8", "functional": "PBE", "state": "relaxed", "final_energy_ev_per_fu": -59.31, "dos_at_fermi_per_ev_atom": 0.30, "e_form_raw_ev_per_atom": -0.745, "spacegroup": "I-4m2 (119)", "lattice_angstrom": [[6.3796, 0.1323, 0.0000], [-2.7109, 5.7765, 0.0000], [-1.8344, -2.9544, 5.3501]], "species": ["Pm", "Ag", "I", "I", "O", "O", "O", "O", "O", "O", "O", "O"], "fractional_positions": [[0.2500, 0.7500, 0.5000], [0.0000, 0.0000, 0.0000], [0.7500, 0.2500, 0.5000], [0.5000, 0.5000, 0.0000], [0.3850, 0.0691, 0.3159], [0.3240, 0.5187, 0.1947], [0.3240, 0.1294, 0.8053], [0.7532, 0.0691, 0.6841], [0.8706, 0.6760, 0.1947], [0.9309, 0.2468, 0.3159], [0.9309, 0.6150, 0.6841], [0.4813, 0.6760, 0.8053]]}